# Ce2MnN3F

A relaxed Ce2MnN3F crystal (GGA+U, Alexandria via LeMat-Bulk).

## Properties
Uncorrected energy   -112.366 eV/cell
Magnetization   5.0 μB per formula unit
DOS(E_F)   12.82 states/eV per cell
ρ   6.91 g/cm3

Cell lengths 3.8964, 3.8964, 12.5347 Å; angles 90.00, 90.00, 90.00 degrees
With the nearest neighbours (Å) after each atom.
Space group I4mm (No. 107)
One atom of each set of equivalent atoms:
Ce 0.0000 0.0000 0.0000 [2 per cell]  1 F 2.32
Ce 0.0000 0.0000 0.2621 [2 per cell]  5 N 2.28-2.48
Mn 0.0000 0.0000 0.6145 [2 per cell]  5 N 1.97-2.14
N 0.0000 0.0000 0.4437 [2 per cell]  1 Mn 2.14, 1 Ce 2.28
N 0.0000 0.5000 0.1397 [4 per cell]  2 Mn 1.97
F 0.0000 0.0000 0.8152 [2 per cell]  1 Ce 2.32, 1 Mn 2.52